A plane-wave DFT calculation with PBE was carried out for a relaxed structure of LaPtPbO6.

Cell: 5.7860 5.7860 8.8173 Å, 90.00 90.00 120.00°
Space group P-31c (No. 163)
Unique sites:
La  0.3333  0.6667  0.2500 x2
Pt  0.3333  0.6667  0.7500 x2
Pb  0.0000  0.0000  0.0000 x2
O  0.0492  0.3736  0.6224 x12

Properties
Raw formation energy = -1.27 eV/atom